A plane-wave DFT calculation with PBE was carried out for a geometry-optimized AcCuBPt3 structure.

Output
**Formation energy**: -594.9 meV/atom
**Magnetic moment**: 0.000 μB per formula unit
**Final energy**: -6.0956 eV per atom

The structure in POSCAR format:
```
AcCuBPt3
1.0
6.1218 0.0000 0.0000
0.0000 5.7458 0.0000
0.0000 -2.8729 6.3744
Ac Cu B Pt
2 2 2 6
Cartesian
4.5914 0.0000 3.3197
1.5305 2.8729 3.0547
1.5305 0.0000 4.8146
4.5914 2.8729 1.5598
1.5305 0.0000 0.1995
4.5914 2.8729 6.1749
1.5305 0.0000 2.3176
0.0000 1.4326 0.0000
3.0609 4.3132 0.0000
3.0609 1.4326 0.0000
0.0000 4.3132 0.0000
4.5914 2.8729 4.0568
```